No. 1
# Tl2SiPb | the Alexandria database | meta-GGA SCAN | PBEsol geometry
# - Energy relative to the elements, uncorrected: 397 meV per atom
data_Tl2SiPb
_cell_length_a 3.4779
_cell_length_b 3.4779
_cell_length_c 8.3479
_cell_angle_alpha 90.00
_cell_angle_beta 90.00
_cell_angle_gamma 90.00
_space_group_name_H-M_alt 'P 4/m m m'
_space_group_IT_number 123
_space_group_name_Hall '-P 4 2'
loop_
_atom_site_label
_atom_site_type_symbol
_atom_site_fract_x
_atom_site_fract_y
_atom_site_fract_z
_atom_site_occupancy
Tl1 Tl 0.0000 0.0000 0.2165 1
Si1 Si 0.5000 0.5000 0.0000 1
Pb1 Pb 0.5000 0.5000 0.5000 1

No. 2
# AgSe2Cl | the Alexandria database | meta-GGA SCAN | PBEsol geometry
# - Energy relative to the elements, uncorrected: 164 meV per atom
data_AgSe2Cl
_cell_length_a 3.6415
_cell_length_b 3.6415
_cell_length_c 6.4300
_cell_angle_alpha 90.00
_cell_angle_beta 90.00
_cell_angle_gamma 90.00
_space_group_name_H-M_alt 'P 4/m m m'
_space_group_IT_number 123
_space_group_name_Hall '-P 4 2'
loop_
_atom_site_label
_atom_site_type_symbol
_atom_site_fract_x
_atom_site_fract_y
_atom_site_fract_z
_atom_site_occupancy
Ag1 Ag 0.0000 0.0000 0.0000 1
Se1 Se 0.5000 0.5000 0.1833 1
Cl1 Cl 0.0000 0.0000 0.5000 1

No. 3
# CrCo2 | the Alexandria database | meta-GGA SCAN | PBEsol geometry
# - Calculated formation energy: 0.69 eV per formula unit
data_CrCo2
_cell_length_a 8.9947
_cell_length_b 2.4335
_cell_length_c 5.8061
_cell_angle_alpha 90.00
_cell_angle_beta 104.35
_cell_angle_gamma 90.00
_space_group_name_H-M_alt 'C 1 2/m 1'
_space_group_IT_number 12
_space_group_name_Hall '-C 2y'
loop_
_atom_site_label
_atom_site_type_symbol
_atom_site_fract_x
_atom_site_fract_y
_atom_site_fract_z
_atom_site_occupancy
Cr1 Cr 0.1908 0.0000 0.1446 1
Co1 Co 0.0298 0.5000 0.8067 1
Co2 Co 0.1386 0.0000 0.5301 1

No. 4
# TaReMo2C | the Alexandria database | meta-GGA SCAN | PBEsol geometry
# - Calculated formation energy: 14.13 eV per formula unit
data_TaReMo2C
_cell_length_a 4.6394
_cell_length_b 4.6394
_cell_length_c 4.8068
_cell_angle_alpha 90.00
_cell_angle_beta 90.00
_cell_angle_gamma 90.00
_space_group_name_H-M_alt 'P 4/m m m'
_space_group_IT_number 123
_space_group_name_Hall '-P 4 2'
loop_
_atom_site_label
_atom_site_type_symbol
_atom_site_fract_x
_atom_site_fract_y
_atom_site_fract_z
_atom_site_occupancy
Ta1 Ta 0.0000 0.0000 0.0000 1
Re1 Re 0.0000 0.0000 0.5000 1
Mo1 Mo 0.0000 0.5000 0.5000 1
C1 C 0.5000 0.5000 0.0000 1

Number 1: ρ 10.591 g/cm³, spin magnetization 0.00 μB/f.u.. Number 2: ρ 5.867 g/cm³, spin magnetization 0.00 μB/f.u.. Number 3: ρ 9.164 g/cm³, spin magnetization 1.70 μB/f.u.. Number 4: ρ 9.165 g/cm³, spin magnetization 0.00 μB/f.u..